[1]
Computed, not measured: Li2FeRu after structural relaxation at the PBE level of DFT.

Geometry as POSCAR:
```
Li2FeRu
1.0
-1.749 1.749 4.308
1.749 -1.749 4.308
1.749 1.749 -4.308
Li Fe Ru
2 1 1
Direct
0.250 0.750 0.500 Li
0.750 0.250 0.500 Li
0.000 0.000 0.000 Fe
0.500 0.500 0.000 Ru
```

Computed properties:
The energy of formation from the pure elements comes out at 0.256 eV/atom. For the offset from the most stable computed form, the calculation gives 9.97 kJ per mole of atoms.

=====

[2]
Computed, not measured: Li6PbAu after structural relaxation at the PBE level of DFT.

Geometry as POSCAR:
```
Li6PbAu
1.0
2.310 1.333 7.427
-2.310 1.333 7.427
0.000 -2.667 7.427
Li Pb Au
6 1 1
Direct
0.120 0.120 0.120 Li
0.245 0.245 0.245 Li
0.371 0.371 0.371 Li
0.629 0.629 0.629 Li
0.755 0.755 0.755 Li
0.880 0.880 0.880 Li
0.500 0.500 0.500 Pb
0.000 0.000 0.000 Au
```

Computed properties:
The energy of formation from the pure elements comes out at -0.358 eV/atom. For the offset from the most stable computed form, the calculation gives 0.00 kJ per mole of atoms.